# Ca3GaAu2, optimized geometry, DFT PBE
# Final energy, eV per atom: -3.26
# Calculated formation energy, eV/atom: -0.662
# Density of states at the Fermi level, states/eV/atom: 0.809
data_Ca3GaAu2
_symmetry_space_group_name_H-M 'P 4/m m m'
_symmetry_Int_Tables_number 123
_symmetry_space_group_name_Hall '-P 4 2'
_cell_length_a 3.6393
_cell_length_b 3.6393
_cell_length_c 11.0786
_cell_angle_alpha 90.00
_cell_angle_beta 90.00
_cell_angle_gamma 90.00
loop_
_atom_site_label
_atom_site_fract_x
_atom_site_fract_y
_atom_site_fract_z
_atom_site_occupancy
Ca1 0.0000 0.0000 0.0000 1
Ca2 0.0000 0.0000 0.3299 1
Ga1 0.5000 0.5000 0.5000 1
Au1 0.5000 0.5000 0.1671 1

=====

# CaGaAu3, optimized geometry, DFT PBE
# Final energy, eV per atom: -3.29
# Offset from the most stable computed form, meV/atom: 257
# Calculated formation energy, eV/atom: -0.321
# Density of states at the Fermi level, states/eV/atom: 0.342
data_CaGaAu3
_symmetry_space_group_name_H-M 'P m -3 m'
_symmetry_Int_Tables_number 221
_symmetry_space_group_name_Hall '-P 4 2 3'
_cell_length_a 4.9317
_cell_length_b 4.9317
_cell_length_c 4.9317
_cell_angle_alpha 90.00
_cell_angle_beta 90.00
_cell_angle_gamma 90.00
loop_
_atom_site_label
_atom_site_fract_x
_atom_site_fract_y
_atom_site_fract_z
_atom_site_occupancy
Ca1 0.0000 0.0000 0.0000 1
Ga1 0.5000 0.5000 0.5000 1
Au1 0.0000 0.5000 0.5000 1

=====

# Ca3Ga8Au3, optimized geometry, DFT PBE
# Final energy, eV per atom: -3.37
# Offset from the most stable computed form, meV/atom: 0
# Calculated formation energy, eV/atom: -0.506
# Density of states at the Fermi level, states/eV/atom: 0.280
data_Ca3Ga8Au3
_symmetry_space_group_name_H-M 'C 1 2/m 1'
_symmetry_Int_Tables_number 12
_cell_length_a 16.0888
_cell_length_b 4.4144
_cell_length_c 9.8641
_cell_angle_alpha 90.00
_cell_angle_beta 126.95
_cell_angle_gamma 90.00
loop_
_symmetry_equiv_pos_as_xyz
'x,y,z'
'-x,-y,-z'
'-x,y,-z'
'x,-y,z'
'x+1/2,y+1/2,z'
'-x+1/2,-y+1/2,-z'
'-x+1/2,y+1/2,-z'
'x+1/2,-y+1/2,z'
loop_
_atom_site_label
_atom_site_fract_x
_atom_site_fract_y
_atom_site_fract_z
_atom_site_occupancy
Ca1 0.0000 0.0000 0.0000 1
Ca2 0.2032 0.5000 0.7062 1
Ga1 0.0015 0.5000 0.3161 1
Ga2 0.1438 0.0000 0.8619 1
Ga3 0.1451 0.0000 0.4263 1
Ga4 0.1588 0.5000 0.2898 1
Au1 0.0000 0.0000 0.5000 1
Au2 0.1515 0.5000 0.0169 1

=====

# CaGaAu2, optimized geometry, DFT PBE
# Final energy, eV per atom: -3.53
# Calculated formation energy, eV/atom: -0.638
# Density of states at the Fermi level, states/eV/atom: 0.304
data_CaGaAu2
_symmetry_space_group_name_H-M 'P n m a'
_symmetry_Int_Tables_number 62
_cell_length_a 7.6848
_cell_length_b 7.3341
_cell_length_c 5.9400
_cell_angle_alpha 90.00
_cell_angle_beta 90.00
_cell_angle_gamma 90.00
loop_
_symmetry_equiv_pos_as_xyz
'x,y,z'
'-x,-y,-z'
'-x+1/2,-y,z+1/2'
'x+1/2,y,-z+1/2'
'x+1/2,-y+1/2,-z+1/2'
'-x+1/2,y+1/2,z+1/2'
'-x,y+1/2,-z'
'x,-y+1/2,z'
loop_
_atom_site_label
_atom_site_fract_x
_atom_site_fract_y
_atom_site_fract_z
_atom_site_occupancy
Ca1 0.0247 0.2500 0.1468 1
Ga1 0.1232 0.7500 0.3618 1
Au1 0.1875 0.0522 0.5815 1

=====

# CaGaAu, optimized geometry, DFT PBE
# Final energy, eV per atom: -3.27
# Calculated formation energy, eV/atom: -0.501
# Density of states at the Fermi level, states/eV/atom: 0.655
data_CaGaAu
_symmetry_space_group_name_H-M 'F -4 3 m'
_symmetry_Int_Tables_number 216
_symmetry_space_group_name_Hall 'F -4 2 3'
_cell_length_a 6.7067
_cell_length_b 6.7067
_cell_length_c 6.7067
_cell_angle_alpha 90.00
_cell_angle_beta 90.00
_cell_angle_gamma 90.00
loop_
_atom_site_label
_atom_site_fract_x
_atom_site_fract_y
_atom_site_fract_z
_atom_site_occupancy
Ca1 0.0000 0.0000 0.0000 1
Ga1 0.0000 0.0000 0.5000 1
Au1 0.2500 0.2500 0.2500 1

=====

# CaGa6Au3, optimized geometry, DFT PBE
# Final energy, eV per atom: -3.28
# Calculated formation energy, eV/atom: -0.284
# Density of states at the Fermi level, states/eV/atom: 0.386
data_CaGa6Au3
_symmetry_space_group_name_H-M 'P 1 21/m 1'
_symmetry_Int_Tables_number 11
_cell_length_a 8.9355
_cell_length_b 4.4559
_cell_length_c 10.4117
_cell_angle_alpha 90.00
_cell_angle_beta 100.34
_cell_angle_gamma 90.00
loop_
_symmetry_equiv_pos_as_xyz
'x,y,z'
'-x,-y,-z'
'-x,y+1/2,-z'
'x,-y+1/2,z'
loop_
_atom_site_label
_atom_site_fract_x
_atom_site_fract_y
_atom_site_fract_z
_atom_site_occupancy
Ca1 0.0216 0.2500 0.2739 1
Ga1 0.0431 0.2500 0.9399 1
Ga2 0.1352 0.7500 0.4663 1
Ga3 0.2468 0.7500 0.2262 1
Ga4 0.3216 0.7500 0.7264 1
Ga5 0.4153 0.2500 0.0537 1
Ga6 0.4623 0.2500 0.5799 1
Au1 0.1768 0.2500 0.6057 1
Au2 0.2571 0.7500 0.9638 1
Au3 0.3932 0.2500 0.3120 1

=====

# Ca2Ga2Au, optimized geometry, DFT PBE
# Final energy, eV per atom: -3.27
# Offset from the most stable computed form, meV/atom: 0
# Calculated formation energy, eV/atom: -0.600
# Density of states at the Fermi level, states/eV/atom: 0.662
data_Ca2Ga2Au
_symmetry_space_group_name_H-M 'C 1 2/m 1'
_symmetry_Int_Tables_number 12
_cell_length_a 10.7779
_cell_length_b 4.5612
_cell_length_c 10.9279
_cell_angle_alpha 90.00
_cell_angle_beta 117.58
_cell_angle_gamma 90.00
loop_
_symmetry_equiv_pos_as_xyz
'x,y,z'
'-x,-y,-z'
'-x,y,-z'
'x,-y,z'
'x+1/2,y+1/2,z'
'-x+1/2,-y+1/2,-z'
'-x+1/2,y+1/2,-z'
'x+1/2,-y+1/2,z'
loop_
_atom_site_label
_atom_site_fract_x
_atom_site_fract_y
_atom_site_fract_z
_atom_site_occupancy
Ca1 0.0113 0.0000 0.3300 1
Ca2 0.1924 0.0000 0.1111 1
Ga1 0.0160 0.5000 0.8894 1
Ga2 0.1414 0.5000 0.5578 1
Au1 0.2254 0.5000 0.3428 1

=====

# CaGa4Au6, optimized geometry, DFT PBE
# Final energy, eV per atom: -3.36
# Offset from the most stable computed form, meV/atom: 50
# Calculated formation energy, eV/atom: -0.285
# Density of states at the Fermi level, states/eV/atom: 0.396
data_CaGa4Au6
_symmetry_space_group_name_H-M 'I -4 2 m'
_symmetry_Int_Tables_number 121
_symmetry_space_group_name_Hall 'I -4 2'
_cell_length_a 7.0176
_cell_length_b 7.0176
_cell_length_c 9.4336
_cell_angle_alpha 90.00
_cell_angle_beta 90.00
_cell_angle_gamma 90.00
loop_
_atom_site_label
_atom_site_fract_x
_atom_site_fract_y
_atom_site_fract_z
_atom_site_occupancy
Ca1 0.0000 0.0000 0.0000 1
Ga1 0.2041 0.2041 0.6618 1
Au1 0.0000 0.5000 0.0000 1
Au2 0.1635 0.1635 0.3829 1

=====

# CaGaAu2, optimized geometry, DFT PBE
# Final energy, eV per atom: -3.46
# Calculated formation energy, eV/atom: -0.566
# Density of states at the Fermi level, states/eV/atom: 0.290
data_CaGaAu2
_symmetry_space_group_name_H-M 'R -3 m'
_symmetry_Int_Tables_number 166
_symmetry_space_group_name_Hall '-R 3 2"'
_cell_length_a 4.5574
_cell_length_b 4.5574
_cell_length_c 14.6440
_cell_angle_alpha 90.00
_cell_angle_beta 90.00
_cell_angle_gamma 120.00
loop_
_atom_site_label
_atom_site_fract_x
_atom_site_fract_y
_atom_site_fract_z
_atom_site_occupancy
Ca1 0.0000 0.0000 0.0000 1
Ga1 0.0000 0.0000 0.5000 1
Au1 0.0000 0.0000 0.2144 1

=====

# Ca3Ga6Au5, optimized geometry, DFT PBE
# Final energy, eV per atom: -3.47
# Calculated formation energy, eV/atom: -0.572
# Density of states at the Fermi level, states/eV/atom: 0.420
data_Ca3Ga6Au5
_symmetry_space_group_name_H-M 'P m m n'
_symmetry_Int_Tables_number 59
_cell_length_a 4.3510
_cell_length_b 13.0408
_cell_length_c 9.9809
_cell_angle_alpha 90.00
_cell_angle_beta 90.00
_cell_angle_gamma 90.00
loop_
_symmetry_equiv_pos_as_xyz
'x,y,z'
'-x,-y,-z'
'-x+1/2,-y+1/2,z'
'x+1/2,y+1/2,-z'
'x+1/2,-y,-z'
'-x+1/2,y,z'
'-x,y+1/2,-z'
'x,-y+1/2,z'
loop_
_atom_site_label
_atom_site_fract_x
_atom_site_fract_y
_atom_site_fract_z
_atom_site_occupancy
Ca1 0.2500 0.0549 0.2462 1
Ca2 0.2500 0.7500 0.2549 1
Ga1 0.2500 0.0721 0.5955 1
Ga2 0.2500 0.2500 0.0351 1
Ga3 0.2500 0.2500 0.4225 1
Ga4 0.2500 0.5973 0.9837 1
Au1 0.2500 0.0947 0.8594 1
Au2 0.2500 0.6315 0.5339 1
Au3 0.2500 0.7500 0.7959 1

=====

# Ca5Ga4Au, optimized geometry, DFT PBE
# Final energy, eV per atom: -3.04
# Calculated formation energy, eV/atom: -0.503
# Density of states at the Fermi level, states/eV/atom: 0.725
data_Ca5Ga4Au
_symmetry_space_group_name_H-M 'P 4/m m m'
_symmetry_Int_Tables_number 123
_symmetry_space_group_name_Hall '-P 4 2'
_cell_length_a 3.6910
_cell_length_b 3.6910
_cell_length_c 18.0910
_cell_angle_alpha 90.00
_cell_angle_beta 90.00
_cell_angle_gamma 90.00
loop_
_atom_site_label
_atom_site_fract_x
_atom_site_fract_y
_atom_site_fract_z
_atom_site_occupancy
Ca1 0.0000 0.0000 0.0000 1
Ca2 0.0000 0.0000 0.1995 1
Ca3 0.0000 0.0000 0.4005 1
Ga1 0.5000 0.5000 0.1017 1
Ga2 0.5000 0.5000 0.2966 1
Au1 0.5000 0.5000 0.5000 1

=====

# CaGaAu4, optimized geometry, DFT PBE
# Final energy, eV per atom: -3.37
# Offset from the most stable computed form, meV/atom: 89
# Calculated formation energy, eV/atom: -0.345
# Density of states at the Fermi level, states/eV/atom: 1.049
data_CaGaAu4
_symmetry_space_group_name_H-M 'F -4 3 m'
_symmetry_Int_Tables_number 216
_symmetry_space_group_name_Hall 'F -4 2 3'
_cell_length_a 7.9444
_cell_length_b 7.9444
_cell_length_c 7.9444
_cell_angle_alpha 90.00
_cell_angle_beta 90.00
_cell_angle_gamma 90.00
loop_
_atom_site_label
_atom_site_fract_x
_atom_site_fract_y
_atom_site_fract_z
_atom_site_occupancy
Ca1 0.0000 0.0000 0.0000 1
Ga1 0.2500 0.2500 0.2500 1
Au1 0.1250 0.1250 0.6250 1